Compound: LaCr2As
Source: Alexandria via LeMat-Bulk
Functional: PBE
Structure: optimized geometry

energy: -56.90 eV per cell
spin magnetization: 0.032 μB per atom
ΔH_f (0 K): 0.093 eV per atom

a = 4.185 Å, b = 4.214 Å, c = 9.828 Å
α = 90.00°, β = 90.00°, γ = 90.00°
Space group Imm2 (No. 44)
Symmetry-distinct sites (fractional):
La  0.000  0.000  0.000 x2
Cr  0.000  0.000  0.611 x2
Cr  0.000  0.500  0.254 x2
As  0.000  0.500  0.757 x2